<P>
Material: LaSmPtAu
Method: DFT, GGA-PBE
State: relaxed

a = 3.9324 Å, b = 4.7617 Å, c = 5.8189 Å
α = 90.00°, β = 109.75°, γ = 90.00°
Last column: nearest neighbours and their distance in Å.
Atoms (fractional coordinates):
La (0.1387, 0.0000, 0.2773)  3 Pt 2.98-3.18, 4 Au 3.14
Sm (0.8649, 0.5000, 0.7298)  3 Au 3.05-3.12, 4 Pt 3.13
Pt (0.4104, 0.0000, 0.8208)  3 La 2.98-3.18, 2 Au 3.06, 4 Sm 3.13
Au (0.5861, 0.5000, 0.1721)  3 Sm 3.05-3.12, 2 Pt 3.06, 4 La 3.14

Properties
**Density**: 11.03 g cm⁻³

<Q>
Material: LaSmPtAu
Method: DFT, GGA-PBE
State: relaxed

a = 5.1961 Å, b = 5.1961 Å, c = 5.1961 Å
α = 60.00°, β = 60.00°, γ = 60.00°
Last column: nearest neighbours and their distance in Å.
Atoms (fractional coordinates):
Au (0.2500, 0.2500, 0.2500)  4 Sm 3.18, 4 La 3.18
Sm (0.0000, 0.0000, 0.0000)  4 Pt 3.18, 4 Au 3.18
Pt (0.7500, 0.7500, 0.7500)  4 La 3.18, 4 Sm 3.18
La (0.5000, 0.5000, 0.5000)  4 Au 3.18, 4 Pt 3.18

Properties
**Density**: 11.40 g cm⁻³

The structure with the most favorable energy is <P>; the runner-up is 0.073 eV/atom above it.

<P>
Material: LaTbPtAu
Method: DFT, GGA-PBE
State: relaxed

a = 3.8935 Å, b = 4.7535 Å, c = 5.7601 Å
α = 90.00°, β = 109.75°, γ = 90.00°
Last column: nearest neighbours and their distance in Å.
Atoms (fractional coordinates):
La (0.1394, 0.0000, 0.2787)  3 Pt 2.93-3.16, 4 Au 3.13
Tb (0.8652, 0.5000, 0.7304)  3 Au 3.03-3.08, 4 Pt 3.11
Pt (0.4099, 0.0000, 0.8199)  3 La 2.93-3.16, 2 Au 3.04, 4 Tb 3.11
Au (0.5855, 0.5000, 0.1710)  3 Tb 3.03-3.08, 2 Pt 3.04, 4 La 3.13

Properties
**Density**: 11.42 g cm⁻³

<Q>
Material: LaTbPtAu
Method: DFT, GGA-PBE
State: relaxed

a = 5.1584 Å, b = 5.1584 Å, c = 5.1584 Å
α = 60.00°, β = 60.00°, γ = 60.00°
Last column: nearest neighbours and their distance in Å.
Atoms (fractional coordinates):
Tb (0.0000, 0.0000, 0.0000)  4 Pt 3.16, 4 Au 3.16
Au (0.2500, 0.2500, 0.2500)  4 Tb 3.16, 4 La 3.16
Pt (0.7500, 0.7500, 0.7500)  4 Tb 3.16, 4 La 3.16
La (0.5000, 0.5000, 0.5000)  4 Au 3.16, 4 Pt 3.16

Properties
**Density**: 11.80 g cm⁻³

The structure with the most favorable energy is <P>; the runner-up is 0.068 eV/atom above it.

<P>
Material: LaPuAu
Method: DFT, GGA-PBE
State: relaxed

a = 3.6270 Å, b = 9.7736 Å, c = 8.6937 Å
α = 97.47°, β = 90.00°, γ = 90.00°
Last column: nearest neighbours and their distance in Å.
Atoms (fractional coordinates):
Au (0.2500, 0.6568, 0.7456)  4 Pu 3.07-3.34, 5 La 3.11-3.40
Au (0.7500, 0.8432, 0.2544)  4 Pu 3.07-3.34, 5 La 3.11-3.40
Au (0.7500, 0.3432, 0.2544)  4 Pu 3.07-3.34, 5 La 3.11-3.40
Au (0.2500, 0.1568, 0.7456)  4 Pu 3.07-3.34, 5 La 3.11-3.40
Pu (0.2500, 0.9258, 0.9962)  2 Pu 2.32
Pu (0.7500, 0.5742, 0.0038)  2 Pu 2.32
Pu (0.7500, 0.0742, 0.0038)  2 Pu 2.32
Pu (0.2500, 0.4258, 0.9962)  2 Pu 2.32
La (0.2500, 0.6112, 0.3515)  5 Au 3.11-3.40, 1 Pu 3.37
La (0.7500, 0.8888, 0.6485)  5 Au 3.11-3.40, 1 Pu 3.37
La (0.7500, 0.3888, 0.6485)  5 Au 3.11-3.40, 1 Pu 3.37
La (0.2500, 0.1112, 0.3515)  5 Au 3.11-3.40, 1 Pu 3.37

Properties
**Density**: 12.60 g cm⁻³

<Q>
Material: LaPuAu
Method: DFT, GGA-PBE
State: relaxed

a = 3.7519 Å, b = 3.7519 Å, c = 6.5230 Å
α = 106.71°, β = 106.71°, γ = 90.00°
Last column: nearest neighbours and their distance in Å.
Atoms (fractional coordinates):
Pu (0.3113, 0.3113, 0.6226)  4 Au 3.13
Au (0.6717, 0.6717, 0.3434)  4 Pu 3.13, 4 La 3.23
La (0.0170, 0.0170, 0.0340)  4 Au 3.23, 5 Pu 3.51-3.61

Properties
**Density**: 11.48 g cm⁻³

The structure with the most favorable energy is <Q>; the runner-up is 0.066 eV/atom above it.

<P>
Material: LaPuAu4
Method: DFT, GGA-PBE
State: relaxed

a = 3.8570 Å, b = 5.4463 Å, c = 7.6925 Å
α = 110.73°, β = 90.00°, γ = 110.80°
Last column: nearest neighbours and their distance in Å.
Atoms (fractional coordinates):
La (0.0042, 0.4994, 0.4981)  10 Au 3.14-3.19
Pu (0.0039, 0.4994, 0.9982)  10 Au 3.11-3.13
Au (0.6708, 0.8322, 0.3250)  2 Pu 3.11, 5 Au 3.13-3.21, 3 La 3.14-3.17
Au (0.3372, 0.1667, 0.6713)  2 Pu 3.11, 5 Au 3.13-3.21, 3 La 3.14-3.17
Au (0.6735, 0.8380, 0.8391)  5 Au 3.06-3.16, 3 Pu 3.12-3.13, 2 La 3.18-3.19
Au (0.3345, 0.1608, 0.1572)  5 Au 3.06-3.16, 3 Pu 3.12-3.13, 2 La 3.18-3.19

Properties
**Density**: 13.91 g cm⁻³

<Q>
Material: LaPuAu4
Method: DFT, GGA-PBE
State: relaxed

a = 5.7531 Å, b = 5.7531 Å, c = 5.7531 Å
α = 60.00°, β = 60.00°, γ = 60.00°
Last column: nearest neighbours and their distance in Å.
Atoms (fractional coordinates):
La (0.0000, 0.0000, 0.0000)  12 Au 3.37, 4 Pu 3.52
Au (0.6247, 0.6247, 0.1260)  6 Au 2.87-2.88
Au (0.6247, 0.1260, 0.6247)  6 Au 2.87-2.88
Au (0.6247, 0.6247, 0.6247)  6 Au 2.87-2.88
Au (0.1260, 0.6247, 0.6247)  6 Au 2.87-2.88
Pu (0.2500, 0.2500, 0.2500)  12 Au 3.37, 4 La 3.52

Properties
**Density**: 14.44 g cm⁻³

The structure with the most favorable energy is <P>; the runner-up is 0.180 eV/atom above it.

<P>
Material: RbLaAu3
Method: DFT, GGA-PBE
State: relaxed

a = 5.6381 Å, b = 5.6381 Å, c = 5.6381 Å
α = 90.00°, β = 90.00°, γ = 90.00°
Last column: nearest neighbours and their distance in Å.
Atoms (fractional coordinates):
Au (0.0000, 0.5000, 0.0000)  2 Rb 2.82
Au (0.0000, 0.0000, 0.5000)  2 Rb 2.82
Au (0.5000, 0.0000, 0.0000)  2 Rb 2.82
Rb (0.0000, 0.0000, 0.0000)  6 Au 2.82
La (0.5000, 0.5000, 0.5000)  12 Au 3.99

Properties
**Density**: 7.55 g cm⁻³

<Q>
Material: RbLaAu3
Method: DFT, GGA-PBE
State: relaxed

a = 5.7759 Å, b = 5.7759 Å, c = 5.7759 Å
α = 90.00°, β = 90.00°, γ = 90.00°
Last column: nearest neighbours and their distance in Å.
Atoms (fractional coordinates):
Au (0.0000, 0.5000, 0.0000)  2 La 2.89
Au (0.0000, 0.0000, 0.5000)  2 La 2.89
Au (0.5000, 0.0000, 0.0000)  2 La 2.89
Rb (0.5000, 0.5000, 0.5000)  12 Au 4.08
La (0.0000, 0.0000, 0.0000)  6 Au 2.89

Properties
**Density**: 7.03 g cm⁻³

The structure with the most favorable energy is <Q>; the runner-up is 0.761 eV/atom above it.

<P>
Material: Rb2LaAu
Method: DFT, GGA-PBE
State: relaxed

a = 12.4631 Å, b = 12.4631 Å, c = 9.2633 Å
α = 47.72°, β = 47.72°, γ = 90.00°
Last column: nearest neighbours and their distance in Å.
Atoms (fractional coordinates):
Au (0.0000, 0.0000, 0.0000)  2 La 2.85
Au (0.7500, 0.2500, 0.5000)  2 La 2.85
Rb (0.7503, 0.1250, 0.2500)  2 Au 3.55
Rb (0.9997, 0.6250, 0.2500)  2 Au 3.55
Rb (0.3750, 0.2497, 0.7500)  2 Au 3.55
Rb (0.8750, 0.0003, 0.7500)  2 Au 3.55
La (0.5000, 0.5000, 0.0000)  2 Au 2.85
La (0.2500, 0.7500, 0.5000)  2 Au 2.85

Properties
**Density**: 3.80 g cm⁻³

<Q>
Material: Rb2LaAu
Method: DFT, GGA-PBE
State: relaxed

a = 5.8451 Å, b = 5.8451 Å, c = 5.8451 Å
α = 60.00°, β = 60.00°, γ = 60.00°
Last column: nearest neighbours and their distance in Å.
Atoms (fractional coordinates):
Au (0.5000, 0.5000, 0.5000)  8 Rb 3.58
Rb (0.2500, 0.2500, 0.2500)  4 La 3.58, 4 Au 3.58
Rb (0.7500, 0.7500, 0.7500)  4 Au 3.58, 4 La 3.58
La (0.0000, 0.0000, 0.0000)  8 Rb 3.58

Properties
**Density**: 5.96 g cm⁻³

The structure with the most favorable energy is <P>; the runner-up is 0.413 eV/atom above it.